[1]
# DyMgGe (GGA-PBE, optimized geometry)
data_DyMgGe
_cell_length_a 6.635
_cell_length_b 6.635
_cell_length_c 6.635
_cell_angle_alpha 90.00
_cell_angle_beta 90.00
_cell_angle_gamma 90.00
_symmetry_space_group_name_H-M 'F -4 3 m'
_symmetry_Int_Tables_number 216
_symmetry_space_group_name_Hall 'F -4 2 3'
loop_
_atom_site_label
_atom_site_fract_x
_atom_site_fract_y
_atom_site_fract_z
_atom_site_occupancy
Dy1 0.000 0.000 0.000 1
Mg1 0.000 0.000 0.500 1
Ge1 0.250 0.250 0.750 1
# E = -12.2 eV per formula unit
# DFT formation energy = -0.466 eV per atom
# Theoretical density = 5.90 Mg/m³

***

[2]
# TbGaAg (GGA-PBE, optimized geometry)
data_TbGaAg
_cell_length_a 3.671
_cell_length_b 16.058
_cell_length_c 4.987
_cell_angle_alpha 90.00
_cell_angle_beta 90.00
_cell_angle_gamma 90.00
_symmetry_space_group_name_H-M 'C m c m'
_symmetry_Int_Tables_number 63
_symmetry_space_group_name_Hall '-C 2c 2'
loop_
_atom_site_label
_atom_site_fract_x
_atom_site_fract_y
_atom_site_fract_z
_atom_site_occupancy
Tb1 0.000 0.163 0.250 1
Ga1 0.000 0.345 0.250 1
Ag1 0.000 0.037 0.750 1
# E = -11.0 eV per formula unit
# DFT formation energy = -0.159 eV per atom
# Theoretical density = 7.60 Mg/m³

***

[3]
# YHo3Er3Se8 (GGA-PBE, optimized geometry)
data_YHo3Er3Se8
_cell_length_a 8.0671
_cell_length_b 8.0671
_cell_length_c 19.7661
_cell_angle_alpha 90.00
_cell_angle_beta 90.00
_cell_angle_gamma 120.00
_symmetry_space_group_name_H-M 'R -3 m'
_symmetry_Int_Tables_number 166
_symmetry_space_group_name_Hall '-R 3 2"'
loop_
_atom_site_label
_atom_site_fract_x
_atom_site_fract_y
_atom_site_fract_z
_atom_site_occupancy
Y1 0.0000 0.0000 0.0000 1
Ho1 0.0000 0.5000 0.5000 1
Er1 0.0000 0.5000 0.0000 1
Se1 0.0000 0.0000 0.2506 1
Se2 0.0077 0.5039 0.2486 1
# Uncorrected formation energy = -1.809 eV per atom
# E = -88.9 eV per formula unit
# Theoretical density = 7.68 Mg/m³

***

[4]
# La3SnC (GGA-PBE, optimized geometry)
data_La3SnC
_cell_length_a 22.593
_cell_length_b 4.950
_cell_length_c 5.315
_cell_angle_alpha 90.00
_cell_angle_beta 103.47
_cell_angle_gamma 90.00
_symmetry_space_group_name_H-M 'C 1 2/m 1'
_symmetry_Int_Tables_number 12
loop_
_symmetry_equiv_pos_as_xyz
'x,y,z'
'-x,-y,-z'
'-x,y,-z'
'x,-y,z'
'x+1/2,y+1/2,z'
'-x+1/2,-y+1/2,-z'
'-x+1/2,y+1/2,-z'
'x+1/2,-y+1/2,z'
loop_
_atom_site_label
_atom_site_fract_x
_atom_site_fract_y
_atom_site_fract_z
_atom_site_occupancy
La1 0.058 0.000 0.310 1
La2 0.169 0.000 0.925 1
La3 0.191 0.500 0.451 1
Sn1 0.069 0.500 0.814 1
C1 0.169 0.000 0.408 1
# E = -29.9 eV per formula unit
# DFT formation energy = -0.377 eV per atom
# Theoretical density = 6.29 Mg/m³